VASP calculation (GGA-PBE) on a relaxed structure of Ca3Ag2Sn2.

Cell lengths 6.0142, 8.5886, 14.5716 Å; angles 90.00, 90.00, 90.00 degrees
With the nearest neighbours (Å) after each atom.
Fractional coordinates of all 28 atoms:
1 Ag 0.3847 0.5505 0.9121  3 Sn 2.81-2.93, 1 Ag 3.04
2 Ag 0.3847 0.5505 0.5879  3 Sn 2.81-2.93, 1 Ag 3.04
3 Ca 0.8662 0.4045 0.8931  4 Ag 3.17-3.41, 4 Sn 3.22-3.49
4 Ca 0.6497 0.7637 0.7500  3 Sn 3.24-3.28, 4 Ag 3.39-3.42
5 Ag 0.6153 0.0505 0.5879  3 Sn 2.81-2.93, 1 Ag 3.04
6 Ca 0.8662 0.0955 0.3931  4 Ag 3.17-3.41, 4 Sn 3.22-3.49
7 Ca 0.3503 0.2636 0.7500  3 Sn 3.24-3.28, 4 Ag 3.39-3.42
8 Sn 0.8482 0.3805 0.2500  2 Ag 2.81
9 Ag 0.6153 0.4495 0.4121  3 Sn 2.81-2.93, 1 Ag 3.04
10 Sn 0.2971 0.2500 0.0000  4 Ag 2.87-2.93
11 Ca 0.1338 0.9045 0.8931  4 Ag 3.17-3.41, 4 Sn 3.22-3.49
12 Ca 0.8662 0.4045 0.6069  4 Ag 3.17-3.41, 4 Sn 3.22-3.49
13 Sn 0.2971 0.2500 0.5000  4 Ag 2.87-2.93
14 Ag 0.3847 0.9495 0.0879  3 Sn 2.81-2.93, 1 Ag 3.04
15 Ca 0.3503 0.2364 0.2500  3 Sn 3.24-3.28, 4 Ag 3.39-3.42
16 Ag 0.3847 0.9495 0.4121  3 Sn 2.81-2.93, 1 Ag 3.04
17 Ag 0.6153 0.0505 0.9121  3 Sn 2.81-2.93, 1 Ag 3.04
18 Sn 0.8482 0.1195 0.7500  2 Ag 2.81
19 Sn 0.7029 0.7500 0.0000  4 Ag 2.87-2.93
20 Sn 0.1518 0.8805 0.2500  2 Ag 2.81
21 Ca 0.6497 0.7363 0.2500  3 Sn 3.24-3.28, 4 Ag 3.39-3.42
22 Ca 0.8662 0.0955 0.1069  4 Ag 3.17-3.41, 4 Sn 3.22-3.49
23 Ca 0.1338 0.9045 0.6069  4 Ag 3.17-3.41, 4 Sn 3.22-3.49
24 Sn 0.1518 0.6195 0.7500  2 Ag 2.81
25 Ca 0.1338 0.5955 0.1069  4 Ag 3.17-3.41, 4 Sn 3.22-3.49
26 Ca 0.1338 0.5955 0.3931  4 Ag 3.17-3.41, 4 Sn 3.22-3.49
27 Sn 0.7029 0.7500 0.5000  4 Ag 2.87-2.93
28 Ag 0.6153 0.4495 0.0879  3 Sn 2.81-2.93, 1 Ag 3.04

Results
- Volume: 752.67 Å³ per cell
- Space-group type: Pbcm, No. 57
- ΔH_f (0 K): -0.518 eV/atom
- Total DFT energy (no corrections): -23.3 eV per formula unit


VASP calculation (GGA-PBE) on a relaxed structure of CaAgSn.

Cell lengths 4.0353, 4.0353, 5.5148 Å; angles 111.46, 111.46, 90.00 degrees
With the nearest neighbours (Å) after each atom.
Fractional coordinates of all 3 atoms:
1 Sn 0.2884 0.2884 0.5769  5 Ca 3.07-3.29, 5 Ag 3.22
2 Ca 0.6140 0.6140 0.2279  5 Sn 3.07-3.29, 5 Ag 3.15-3.26
3 Ag 0.9476 0.9476 0.8952  5 Ca 3.15-3.26, 5 Sn 3.22

Results
- Volume: 76.84 Å³ per cell
- Space-group type: I4mm, No. 107
- ΔH_f (0 K): -0.276 eV/atom
- Total DFT energy (no corrections): -9.7 eV per formula unit